(1)
The following is a DFT calculation (PBE) of an optimized crystal structure of Ca4As.

Space group: No. 221
Uncorrected energy in eV for the cell shown: -15.0
ΔE to the lowest computed polymorph in eV per atom: 0.000

```
Ca4As
1.0
5.767 0.000 0.000
0.000 5.767 0.000
0.000 0.000 5.767
Ca As
4 1
Cartesian
0.000 0.000 0.000
0.000 2.883 2.883
2.883 0.000 2.883
2.883 2.883 0.000
2.883 2.883 2.883
```

---

(2)
The following is a DFT calculation (PBE) of an optimized crystal structure of PmSmTe2O8.

Uncorrected formation energy in eV/atom: -1.925
Space group: No. 119
Uncorrected energy in eV for the cell shown: -78.5

```
PmSmTe2O8
1.0
-3.769 3.769 3.469
3.769 -3.769 3.469
3.769 3.769 -3.469
Pm Sm Te O
1 1 2 8
Cartesian
0.000 0.000 0.000
3.769 0.000 1.734
0.000 0.000 3.469
0.000 3.769 1.734
2.378 3.769 -1.369
1.391 0.000 2.100
0.000 2.387 0.365
3.769 2.378 1.369
0.000 5.150 0.365
0.000 1.391 4.837
-1.381 3.769 3.103
1.381 3.769 3.103
```

---

(3)
The following is a DFT calculation (PBE) of an optimized crystal structure of SrCd2Os.

Space group: No. 65
Uncorrected energy in eV for the cell shown: -24.3

```
SrCd2Os
1.0
6.149 0.000 0.000
0.000 9.003 0.000
0.000 0.000 3.145
Sr Cd Os
2 4 2
Cartesian
0.000 0.000 0.000
3.075 4.501 0.000
1.537 2.251 1.572
1.537 6.752 1.572
4.612 2.251 1.572
4.612 6.752 1.572
0.000 4.501 0.000
3.075 0.000 0.000
```

---

(4)
The following is a DFT calculation (PBE) of an optimized crystal structure of Ca2MoPt.

Space group: No. 166
Uncorrected energy in eV for the cell shown: -58.2
ΔE to the lowest computed polymorph in eV per atom: 0.309

```
Ca2MoPt
1.0
3.217 0.000 0.000
-1.608 2.786 0.000
0.000 0.000 28.596
Ca Mo Pt
6 3 3
Cartesian
0.000 0.000 7.035
0.000 0.000 21.561
0.000 1.857 12.029
0.000 1.857 26.099
1.608 0.929 2.497
1.608 0.929 16.567
0.000 0.000 0.000
0.000 1.857 19.064
1.608 0.929 9.532
0.000 0.000 14.298
0.000 1.857 4.766
1.608 0.929 23.830
```

---

(5)
The following is a DFT calculation (PBE) of an optimized crystal structure of DyPuHf2.

Space group: No. 123
Uncorrected energy in eV for the cell shown: -38.1
ΔE to the lowest computed polymorph in eV per atom: 0.000

```
DyPuHf2
1.0
4.594 0.000 0.000
0.000 4.594 0.000
0.000 0.000 4.691
Dy Pu Hf
1 1 2
Cartesian
0.000 0.000 0.000
2.297 2.297 0.000
0.000 2.297 2.345
2.297 0.000 2.345
```

---

(6)
The following is a DFT calculation (PBE) of an optimized crystal structure of Ta5Ti2W4.

Space group: No. 12
Uncorrected energy in eV for the cell shown: -119.2

```
Ta5Ti2W4
1.0
9.037 -2.161 0.000
9.037 2.161 0.000
-1.134 0.000 5.610
Ta Ti W
5 2 4
Cartesian
0.000 0.000 0.000
4.772 0.000 2.050
4.321 0.000 4.945
12.619 0.000 0.665
12.168 0.000 3.560
7.476 0.000 1.598
9.464 0.000 4.012
2.036 0.000 2.372
6.889 0.000 4.390
10.051 0.000 1.221
14.904 0.000 3.238
```